DFT (PBE) results for a relaxed structure of FeReTe2. Values from VASP.

```
&SYSTEM
  ibrav = 0, nat = 4, ntyp = 3
/
ATOMIC_SPECIES
Fe 55.84 Fe.upf
Re 186.21 Re.upf
Te 127.60 Te.upf
ATOMIC_POSITIONS crystal
Fe 0.000 0.000 0.000
Re 0.500 0.500 0.000
Te 0.000 0.500 0.270
Te 0.500 0.000 0.730
CELL_PARAMETERS angstrom
3.785 0.000 0.000
0.000 3.785 0.000
0.000 0.000 6.889
```

Its density of states at the Fermi level is 2.7 states/eV/cell. As for the crystal system: tetragonal. The raw formation energy comes out at 0.15 eV/atom. As for the symmetry: No. 115.

---

DFT (PBE) results for a relaxed structure of SrSmDy2S4. Values from VASP.

```
&SYSTEM
  ibrav = 0, nat = 8, ntyp = 4
/
ATOMIC_SPECIES
Sr 87.62 Sr.upf
Sm 150.36 Sm.upf
Dy 162.50 Dy.upf
S 32.06 S.upf
ATOMIC_POSITIONS crystal
Sr 0.000 0.000 0.000
Sm 0.500 0.500 0.000
Dy 0.000 0.500 0.500
Dy 0.500 0.000 0.500
S 0.249 0.000 0.737
S 0.260 0.500 0.267
S 0.740 0.500 0.733
S 0.751 0.000 0.263
CELL_PARAMETERS angstrom
6.953 0.000 0.000
0.000 3.983 0.000
-2.273 0.000 6.582
```

Its density of states at the Fermi level is 2.8 states/eV/cell. As for the crystal system: monoclinic. The raw formation energy comes out at -2.01 eV/atom. As for the symmetry: No. 10.

---

DFT (PBE) results for a relaxed structure of TaGePd2Ru. Values from VASP.

```
&SYSTEM
  ibrav = 0, nat = 5, ntyp = 4
/
ATOMIC_SPECIES
Ta 180.95 Ta.upf
Ge 72.64 Ge.upf
Pd 106.42 Pd.upf
Ru 101.07 Ru.upf
ATOMIC_POSITIONS crystal
Ta 0.000 0.000 0.000
Ge 0.500 0.500 0.000
Pd 0.000 0.500 0.500
Pd 0.500 0.000 0.500
Ru 0.500 0.500 0.500
CELL_PARAMETERS angstrom
4.774 0.000 0.000
0.000 4.774 0.000
0.000 0.000 4.496
```

Its density of states at the Fermi level is 10.0 states/eV/cell. For the total energy, the calculation gives -29.73 eV/cell. As for the crystal system: tetragonal. As for the symmetry: No. 123.

---

DFT (PBE) results for a relaxed structure of Ta2MnAl. Values from VASP.

```
&SYSTEM
  ibrav = 0, nat = 4, ntyp = 3
/
ATOMIC_SPECIES
Ta 180.95 Ta.upf
Mn 54.94 Mn.upf
Al 26.98 Al.upf
ATOMIC_POSITIONS crystal
Ta 0.000 0.000 0.233
Ta 0.000 0.000 0.767
Mn 0.500 0.500 0.000
Al 0.500 0.500 0.500
CELL_PARAMETERS angstrom
3.229 0.000 0.000
0.000 3.229 0.000
0.000 0.000 6.021
```

Its density of states at the Fermi level is 3.6 states/eV/cell. For the total energy, the calculation gives -36.81 eV/cell. As for the crystal system: tetragonal. As for the symmetry: No. 123.

---

DFT (PBE) results for a relaxed structure of RbMgRhF6. Values from VASP.

```
&SYSTEM
  ibrav = 0, nat = 18, ntyp = 4
/
ATOMIC_SPECIES
Rb 85.47 Rb.upf
Mg 24.30 Mg.upf
Rh 102.91 Rh.upf
F 19.00 F.upf
ATOMIC_POSITIONS crystal
Rb 0.403 0.153 0.250
Rb 0.597 0.847 0.750
Mg 0.000 0.500 0.500
Mg 0.500 0.500 0.000
Rh 0.000 0.000 0.500
Rh 0.000 0.500 0.000
F 0.079 0.829 0.250
F 0.083 0.429 0.254
F 0.083 0.828 0.654
F 0.311 0.561 0.750
F 0.325 0.172 0.754
F 0.325 0.571 0.154
F 0.675 0.429 0.846
F 0.675 0.828 0.246
F 0.689 0.439 0.250
F 0.917 0.172 0.346
F 0.917 0.571 0.746
F 0.921 0.171 0.750
CELL_PARAMETERS angstrom
-3.667 3.673 5.284
3.667 -3.673 5.284
3.667 3.673 -5.284
```

As for the crystal system: orthorhombic. The raw formation energy comes out at -2.53 eV/atom. As for the symmetry: No. 74.

---

DFT (PBE) results for a relaxed structure of YP2PtS. Values from VASP.

```
&SYSTEM
  ibrav = 0, nat = 5, ntyp = 4
/
ATOMIC_SPECIES
Y 88.91 Y.upf
P 30.97 P.upf
Pt 195.08 Pt.upf
S 32.06 S.upf
ATOMIC_POSITIONS crystal
Y 0.000 0.000 0.000
P 0.000 0.500 0.500
P 0.500 0.000 0.500
Pt 0.500 0.500 0.500
S 0.500 0.500 0.000
CELL_PARAMETERS angstrom
4.628 0.000 0.000
0.000 4.628 0.000
0.000 0.000 4.954
```

Its density of states at the Fermi level is 4.2 states/eV/cell. As for the crystal system: tetragonal. The raw formation energy comes out at -0.15 eV/atom. As for the symmetry: No. 123.

---

DFT (PBE) results for a relaxed structure of Pm3In2Ag4. Values from VASP.

```
&SYSTEM
  ibrav = 0, nat = 9, ntyp = 3
/
ATOMIC_SPECIES
Pm 145.00 Pm.upf
In 114.82 In.upf
Ag 107.87 Ag.upf
ATOMIC_POSITIONS crystal
Pm 0.000 0.000 0.000
Pm 0.339 0.339 0.324
Pm 0.661 0.661 0.676
In 0.376 0.376 0.709
In 0.624 0.624 0.291
Ag 0.070 0.070 0.404
Ag 0.283 0.283 0.948
Ag 0.717 0.717 0.052
Ag 0.930 0.930 0.596
CELL_PARAMETERS angstrom
5.525 -2.447 0.000
5.525 2.447 0.000
-4.491 0.000 8.068
```

Its density of states at the Fermi level is 5.5 states/eV/cell. For the total energy, the calculation gives -34.28 eV/cell. As for the crystal system: monoclinic. As for the symmetry: No. 12.

---

DFT (PBE) results for a relaxed structure of PSF. Values from VASP.

```
&SYSTEM
  ibrav = 0, nat = 6, ntyp = 3
/
ATOMIC_SPECIES
P 30.97 P.upf
S 32.06 S.upf
F 19.00 F.upf
ATOMIC_POSITIONS crystal
P 0.226 0.401 0.453
P 0.774 0.599 0.547
S 0.094 0.244 0.185
S 0.906 0.756 0.815
F 0.325 0.275 0.653
F 0.675 0.725 0.347
CELL_PARAMETERS angstrom
3.765 0.000 0.000
-0.016 6.597 0.000
-1.863 -0.734 6.373
```

Its density of states at the Fermi level is 1.5 states/eV/cell. As for the crystal system: triclinic. The raw formation energy comes out at -0.97 eV/atom. As for the symmetry: No. 2.